The following is a PBE calculation of a relaxed structure of HoPaAg, from OQMD via LeMat-Bulk.

POSCAR file:
```
HoPaAg
1.0
0.000 3.500 3.500
3.500 0.000 3.500
3.500 3.500 0.000
Ag Ho Pa
1 1 1
Direct
0.000 0.000 0.000 Ag
0.250 0.250 0.250 Ho
0.750 0.750 0.750 Pa
```

Calculated values
ΔE to the lowest computed polymorph (eV/f.u.): 0.00
Energy of formation from the pure elements (kJ per mole of atoms): 55